Record 1
ScCuTc2 (meta-GGA SCAN, PBEsol geometry); formation energy = -144 meV per atom; DFT total energy = -25.03 eV per atom; crystal system = tetragonal
1.0
3.0410 0.0000 0.0000
0.0000 3.0410 0.0000
0.0000 0.0000 6.4775
Sc Cu Tc
1 1 2
Cartesian
0.0000 0.0000 0.0000 Sc
1.5205 1.5205 4.7457 Cu
0.0000 0.0000 3.2259 Tc
1.5205 1.5205 1.8633 Tc

Record 2
ScCuTc2 (meta-GGA SCAN, PBEsol geometry); formation energy = -122 meV per atom; DFT total energy = -25.01 eV per atom; crystal system = cubic
1.0
0.0000 3.0710 3.0710
3.0710 0.0000 3.0710
3.0710 3.0710 0.0000
Sc Cu Tc
1 1 2
Cartesian
0.0000 0.0000 0.0000 Sc
1.5355 1.5355 1.5355 Cu
3.0710 3.0710 3.0710 Tc
4.6065 4.6065 4.6065 Tc

Record 3
ScCuTe (meta-GGA SCAN, PBEsol geometry); uncorrected formation energy = -0.5895 eV per atom; DFT total energy = -22.82 eV per atom; crystal system = trigonal
1.0
4.1266 0.0000 0.0000
-2.0633 3.5737 0.0000
0.0000 0.0000 4.0071
Sc Cu Te
1 1 1
Cartesian
0.0000 0.0000 0.0000 Sc
2.0633 1.1912 2.8579 Cu
0.0000 2.3825 1.8556 Te

Record 4
Sc2CuTe (meta-GGA SCAN, PBEsol geometry); uncorrected formation energy = -0.5309 eV per atom; DFT total energy = -20.76 eV per atom; crystal system = tetragonal
1.0
3.8163 0.0000 0.0000
0.0000 3.8163 0.0000
0.0000 0.0000 5.7429
Sc Cu Te
2 1 1
Cartesian
0.0000 0.0000 0.0000 Sc
1.9081 1.9081 1.8736 Sc
1.9081 1.9081 4.9465 Cu
0.0000 0.0000 2.9106 Te

Record 5
ScCu2Te (meta-GGA SCAN, PBEsol geometry); uncorrected formation energy = -0.1909 eV per atom; DFT total energy = -20.66 eV per atom; crystal system = tetragonal
1.0
3.5567 0.0000 0.0000
0.0000 3.5567 0.0000
0.0000 0.0000 5.5102
Sc Cu Te
1 2 1
Cartesian
0.0000 0.0000 0.0000 Sc
1.7783 1.7783 1.2956 Cu
1.7783 1.7783 4.2146 Cu
0.0000 0.0000 2.7551 Te

Record 6
Sc2CuTe (meta-GGA SCAN, PBEsol geometry); uncorrected formation energy = -0.5776 eV per atom; DFT total energy = -20.81 eV per atom; crystal system = tetragonal
1.0
3.5815 0.0000 0.0000
0.0000 3.5815 0.0000
0.0000 0.0000 6.1046
Sc Cu Te
2 1 1
Cartesian
0.0000 0.0000 1.4412 Sc
0.0000 0.0000 4.6634 Sc
1.7908 1.7908 0.0000 Cu
1.7908 1.7908 3.0523 Te